# Pr5Er3Cd | Alexandria via LeMat-Bulk | PBE | optimized geometry
# total magnetization = 0.00 μB/f.u.
# formation enthalpy at 0 K = 0.43 eV/atom
data_Pr5Er3Cd
_space_group_name_H-M_alt 'P 1'
_space_group_IT_number 1
_cell_length_a 9.4648
_cell_length_b 9.4648
_cell_length_c 9.3003
_cell_angle_alpha 115.01
_cell_angle_beta 115.01
_cell_angle_gamma 77.42
loop_
_space_group_symop_operation_xyz
'x,y,z'
loop_
_atom_site_label
_atom_site_type_symbol
_atom_site_fract_x
_atom_site_fract_y
_atom_site_fract_z
Pr1 Pr 0.0500 0.0500 0.3464
Pr2 Pr 0.0982 0.5659 0.2966
Pr3 Pr 0.2428 0.7572 0.0000
Pr4 Pr 0.3134 0.3134 0.5649
Pr5 Pr 0.4341 0.9018 0.7034
Pr6 Pr 0.5659 0.0982 0.2966
Pr7 Pr 0.6866 0.6866 0.4351
Pr8 Pr 0.7572 0.2428 0.0000
Pr9 Pr 0.9018 0.4341 0.7034
Pr10 Pr 0.9500 0.9500 0.6536
Er1 Er 0.1449 0.1449 0.0854
Er2 Er 0.2060 0.2060 0.7843
Er3 Er 0.5000 0.5000 0.0000
Er4 Er 0.5000 0.5000 0.5000
Er5 Er 0.7940 0.7940 0.2157
Er6 Er 0.8551 0.8551 0.9146
Cd1 Cd 0.3716 0.3716 0.1435
Cd2 Cd 0.6284 0.6284 0.8565



# TmMnSe | Alexandria via LeMat-Bulk | PBE | optimized geometry
# total magnetization = 3.52 μB/f.u.
# uncorrected formation energy = -826 meV/atom
data_TmMnSe
_space_group_name_H-M_alt 'P 1'
_space_group_IT_number 1
_cell_length_a 3.7985
_cell_length_b 3.7985
_cell_length_c 8.8559
_cell_angle_alpha 90.00
_cell_angle_beta 90.00
_cell_angle_gamma 90.00
loop_
_space_group_symop_operation_xyz
'x,y,z'
loop_
_atom_site_label
_atom_site_type_symbol
_atom_site_fract_x
_atom_site_fract_y
_atom_site_fract_z
Tm1 Tm 0.2500 0.2500 0.2263
Tm2 Tm 0.7500 0.7500 0.7737
Mn1 Mn 0.2500 0.2500 0.5587
Mn2 Mn 0.7500 0.7500 0.4413
Se1 Se 0.2500 0.2500 0.8627
Se2 Se 0.7500 0.7500 0.1373



# Ta2Nb3W | Alexandria via LeMat-Bulk | PBE | optimized geometry
# relative energy among the computed polymorphs = 555 meV/atom
# total magnetization = 0.00 μB/f.u.
# formation enthalpy at 0 K = 0.53 eV/atom
data_Ta2Nb3W
_space_group_name_H-M_alt 'P 1'
_space_group_IT_number 1
_cell_length_a 5.4458
_cell_length_b 5.4458
_cell_length_c 9.0714
_cell_angle_alpha 90.00
_cell_angle_beta 90.00
_cell_angle_gamma 120.00
loop_
_space_group_symop_operation_xyz
'x,y,z'
loop_
_atom_site_label
_atom_site_type_symbol
_atom_site_fract_x
_atom_site_fract_y
_atom_site_fract_z
Ta1 Ta 0.0000 0.0000 0.0000
Ta2 Ta 0.0000 0.0000 0.5000
Ta3 Ta 0.3333 0.6667 0.0000
Ta4 Ta 0.6667 0.3333 0.0000
Nb1 Nb 0.0000 0.5000 0.2533
Nb2 Nb 0.0000 0.5000 0.7467
Nb3 Nb 0.5000 0.0000 0.2533
Nb4 Nb 0.5000 0.0000 0.7467
Nb5 Nb 0.5000 0.5000 0.2533
Nb6 Nb 0.5000 0.5000 0.7467
W1 W 0.3333 0.6667 0.5000
W2 W 0.6667 0.3333 0.5000



# KZrSe | Alexandria via LeMat-Bulk | PBE | optimized geometry
# relative energy among the computed polymorphs = 244 meV/atom
# total magnetization = 1.62 μB/f.u.
# uncorrected formation energy = -254 meV/atom
data_KZrSe
_space_group_name_H-M_alt 'P 1'
_space_group_IT_number 1
_cell_length_a 4.5492
_cell_length_b 4.5492
_cell_length_c 5.9444
_cell_angle_alpha 90.00
_cell_angle_beta 90.00
_cell_angle_gamma 120.00
loop_
_space_group_symop_operation_xyz
'x,y,z'
loop_
_atom_site_label
_atom_site_type_symbol
_atom_site_fract_x
_atom_site_fract_y
_atom_site_fract_z
K1 K 0.0000 0.0000 0.0000
Zr1 Zr 0.3333 0.6667 0.5000
Se1 Se 0.6667 0.3333 0.5000



# TaSiB2 | Alexandria via LeMat-Bulk | PBE | optimized geometry
# total magnetization = 0.00 μB/f.u.
# uncorrected formation energy = 274 meV/atom
data_TaSiB2
_space_group_name_H-M_alt 'P 1'
_space_group_IT_number 1
_cell_length_a 5.6930
_cell_length_b 5.6930
_cell_length_c 5.7627
_cell_angle_alpha 90.00
_cell_angle_beta 90.00
_cell_angle_gamma 90.00
loop_
_space_group_symop_operation_xyz
'x,y,z'
loop_
_atom_site_label
_atom_site_type_symbol
_atom_site_fract_x
_atom_site_fract_y
_atom_site_fract_z
Ta1 Ta 0.0000 0.0000 0.0000
Ta2 Ta 0.0000 0.5000 0.2500
Ta3 Ta 0.5000 0.0000 0.7500
Ta4 Ta 0.5000 0.5000 0.5000
Si1 Si 0.0000 0.0000 0.5000
Si2 Si 0.0000 0.5000 0.7500
Si3 Si 0.5000 0.0000 0.2500
Si4 Si 0.5000 0.5000 0.0000
B1 B 0.2075 0.2500 0.6250
B2 B 0.2500 0.7075 0.8750
B3 B 0.2500 0.7925 0.3750
B4 B 0.2925 0.2500 0.1250
B5 B 0.7075 0.7500 0.1250
B6 B 0.7500 0.2075 0.3750
B7 B 0.7500 0.2925 0.8750
B8 B 0.7925 0.7500 0.6250



# Ac2BePd3 | Alexandria via LeMat-Bulk | PBE | optimized geometry
# total magnetization = 0.00 μB/f.u.
# formation enthalpy at 0 K = -0.69 eV/atom
data_Ac2BePd3
_space_group_name_H-M_alt 'P 1'
_space_group_IT_number 1
_cell_length_a 8.8104
_cell_length_b 8.7278
_cell_length_c 6.0903
_cell_angle_alpha 70.41
_cell_angle_beta 68.95
_cell_angle_gamma 40.64
loop_
_space_group_symop_operation_xyz
'x,y,z'
loop_
_atom_site_label
_atom_site_type_symbol
_atom_site_fract_x
_atom_site_fract_y
_atom_site_fract_z
Ac1 Ac 0.2472 0.7528 0.7528
Ac2 Ac 0.2500 0.2500 0.2500
Ac3 Ac 0.7500 0.7500 0.7500
Ac4 Ac 0.7528 0.2472 0.2472
Be1 Be 0.3331 0.3331 0.6669
Be2 Be 0.6669 0.6669 0.3331
Pd1 Pd 0.1836 0.1836 0.8164
Pd2 Pd 0.1868 0.6306 0.3694
Pd3 Pd 0.3694 0.8132 0.1868
Pd4 Pd 0.6306 0.1868 0.8132
Pd5 Pd 0.8132 0.3694 0.6306
Pd6 Pd 0.8164 0.8164 0.1836



# Ca3LaCo | Alexandria via LeMat-Bulk | PBE | optimized geometry
# total magnetization = 0.00 μB/f.u.
# formation enthalpy at 0 K = 0.25 eV/atom
data_Ca3LaCo
_space_group_name_H-M_alt 'P 1'
_space_group_IT_number 1
_cell_length_a 5.4875
_cell_length_b 5.4875
_cell_length_c 5.4875
_cell_angle_alpha 90.00
_cell_angle_beta 90.00
_cell_angle_gamma 90.00
loop_
_space_group_symop_operation_xyz
'x,y,z'
loop_
_atom_site_label
_atom_site_type_symbol
_atom_site_fract_x
_atom_site_fract_y
_atom_site_fract_z
Ca1 Ca 0.0000 0.0000 0.5000
Ca2 Ca 0.0000 0.5000 0.0000
Ca3 Ca 0.5000 0.0000 0.0000
La1 La 0.5000 0.5000 0.5000
Co1 Co 0.0000 0.0000 0.0000



# PrTiO2 | Alexandria via LeMat-Bulk | PBE | optimized geometry
# total magnetization = 0.00 μB/f.u.
# uncorrected formation energy = -2214 meV/atom
data_PrTiO2
_space_group_name_H-M_alt 'P 1'
_space_group_IT_number 1
_cell_length_a 3.3166
_cell_length_b 3.3166
_cell_length_c 19.4625
_cell_angle_alpha 90.00
_cell_angle_beta 90.00
_cell_angle_gamma 120.00
loop_
_space_group_symop_operation_xyz
'x,y,z'
loop_
_atom_site_label
_atom_site_type_symbol
_atom_site_fract_x
_atom_site_fract_y
_atom_site_fract_z
Pr1 Pr 0.0000 0.0000 0.0000
Pr2 Pr 0.3333 0.6667 0.6667
Pr3 Pr 0.6667 0.3333 0.3333
Ti1 Ti 0.0000 0.0000 0.5000
Ti2 Ti 0.3333 0.6667 0.1667
Ti3 Ti 0.6667 0.3333 0.8333
O1 O 0.0000 0.0000 0.1229
O2 O 0.0000 0.0000 0.8771
O3 O 0.3333 0.6667 0.5438
O4 O 0.3333 0.6667 0.7895
O5 O 0.6667 0.3333 0.2105
O6 O 0.6667 0.3333 0.4562